# PBE Hf2ScRh, optimized geometry
# DOS(E_F): 1.3326 states/eV per atom
# E_form: -0.3569 eV/atom
data_Hf2ScRh
_chemical_formula_sum 'Hf2 Sc1 Rh1'
_cell_length_a 3.325
_cell_length_b 3.325
_cell_length_c 7.278
_cell_angle_alpha 90.00
_cell_angle_beta 90.00
_cell_angle_gamma 90.00
_symmetry_space_group_name_H-M 'P 4/m m m'
_symmetry_Int_Tables_number 123
_symmetry_space_group_name_Hall '-P 4 2'
loop_
_atom_site_label
_atom_site_fract_x
_atom_site_fract_y
_atom_site_fract_z
Hf1 0.000 0.000 0.216
Sc1 0.500 0.500 0.500
Rh1 0.500 0.500 0.000